Material: Sm3Te5Se12
Method: DFT, PBE-GGA
State: relaxed

Lattice parameters (Å, degrees): 17.102 17.102 17.102 90.00 90.00 90.00
Space group Ia-3d (No. 230)
Unique sites:
Sm (0.000, 0.250, 0.125) x24
Te (0.000, 0.000, 0.000) x16
Te (0.000, 0.250, 0.375) x24
Se (0.009, 0.069, 0.656) x96

Calculated values
Energy relative to the elements, uncorrected (eV per atom): -0.49
Total magnetic moment (μB per cell): 0.00
E_tot (eV for the cell shown): -651.61